Record 1
# Al2PtI6Cl2 (PBE-GGA, relaxed)
# mass density = 3.71 Mg/m³
# total DFT energy (no corrections) = -3.12 eV/atom
data_Al2PtI6Cl2
_chemical_formula_sum 'Al4 Pt2 I12 Cl4'
_space_group_name_H-M_alt 'C 1 2/m 1'
_space_group_IT_number 12
_cell_length_a 13.207
_cell_length_b 9.185
_cell_length_c 8.012
_cell_angle_alpha 90.00
_cell_angle_beta 95.78
_cell_angle_gamma 90.00
loop_
_space_group_symop_operation_xyz
'x,y,z'
'-x,-y,-z'
'-x,y,-z'
'x,-y,z'
'x+1/2,y+1/2,z'
'-x+1/2,-y+1/2,-z'
'-x+1/2,y+1/2,-z'
'x+1/2,-y+1/2,z'
loop_
_atom_site_label
_atom_site_fract_x
_atom_site_fract_y
_atom_site_fract_z
Al1 0.221 0.000 0.332
Pt1 0.000 0.000 0.000
I1 0.117 0.202 0.154
I2 0.183 0.000 0.633
Cl1 0.123 0.500 0.709

Record 2
# HfScNb (PBE-GGA, relaxed)
# mass density = 7.36 Mg/m³
# DFT formation energy = 0.779 eV per atom
# total DFT energy (no corrections) = -8.01 eV/atom
data_HfScNb
_chemical_formula_sum 'Hf4 Sc4 Nb4'
_space_group_name_H-M_alt 'F -4 3 m'
_space_group_IT_number 216
_space_group_name_Hall 'F -4 2 3'
_cell_length_a 6.586
_cell_length_b 6.586
_cell_length_c 6.586
_cell_angle_alpha 90.00
_cell_angle_beta 90.00
_cell_angle_gamma 90.00
loop_
_atom_site_label
_atom_site_fract_x
_atom_site_fract_y
_atom_site_fract_z
Hf1 0.000 0.000 0.000
Sc1 0.000 0.000 0.500
Nb1 0.250 0.250 0.250

Record 3
# Cd3As2O8 (PBE-GGA, relaxed)
# mass density = 5.93 Mg/m³
# total DFT energy (no corrections) = -5.17 eV/atom
data_Cd3As2O8
_chemical_formula_sum 'Cd3 As2 O8'
_space_group_name_H-M_alt 'P -1'
_space_group_IT_number 2
_cell_length_a 5.359
_cell_length_b 5.457
_cell_length_c 6.864
_cell_angle_alpha 67.57
_cell_angle_beta 84.26
_cell_angle_gamma 68.37
loop_
_space_group_symop_operation_xyz
'x,y,z'
'-x,-y,-z'
loop_
_atom_site_label
_atom_site_fract_x
_atom_site_fract_y
_atom_site_fract_z
Cd1 0.000 0.000 0.000
Cd2 0.247 0.549 0.642
As1 0.371 0.156 0.226
O1 0.192 0.362 0.365
O2 0.228 0.274 0.979
O3 0.308 0.843 0.784
O4 0.348 0.821 0.329

> What is the total DFT energy (no corrections) in the third record?

-5.17 eV/atom